1.
Entry from the Alexandria database: a relaxed structure of ErPu2ScSe4 (GGA-PBE).

Cell and atoms, written as POSCAR:
```
ErPu2ScSe4
1.0
6.9823 0.0000 0.0000
0.0000 4.0404 0.0000
-2.3472 0.0000 6.6628
Er Pu Sc Se
1 2 1 4
Direct
0.0000 0.0000 0.0000
0.5000 0.0000 0.5000
0.5000 0.5000 0.0000
0.0000 0.5000 0.5000
0.2342 0.0000 0.7401
0.2378 0.5000 0.2520
0.7622 0.5000 0.7480
0.7658 0.0000 0.2599
```

Calculated values
formation energy from raw total energies: -1597 meV per atom
uncorrected energy: -8.284 eV/atom
D(E_F): 2.177 states/eV/atom

***

2.
Entry from the Alexandria database: a relaxed structure of SrCa2Pu (GGA-PBE).

Cell and atoms, written as POSCAR:
```
SrCa2Pu
1.0
3.7176 0.0000 0.0000
-1.8588 3.2195 0.0000
0.0000 0.0000 40.7558
Sr Ca Pu
3 6 3
Direct
0.0000 0.0000 0.0000
0.3333 0.6667 0.6667
0.6667 0.3333 0.3333
0.0000 0.0000 0.4162
0.0000 0.0000 0.5838
0.3333 0.6667 0.0829
0.3333 0.6667 0.2505
0.6667 0.3333 0.7495
0.6667 0.3333 0.9171
0.0000 0.0000 0.5000
0.3333 0.6667 0.1667
0.6667 0.3333 0.8333
```

Calculated values
formation enthalpy at 0 K: 0.383 eV per atom
uncorrected energy: -4.621 eV/atom
D(E_F): 3.115 states/eV/atom

***

3.
Entry from the Alexandria database: a relaxed structure of UTl2PO6 (GGA-PBE).

Cell and atoms, written as POSCAR:
```
UTl2PO6
1.0
-2.7757 2.7757 5.3570
2.7757 -2.7757 5.3570
2.7757 2.7757 -5.3570
U Tl P O
1 2 1 6
Direct
0.0000 0.0000 0.0000
0.2500 0.7500 0.5000
0.7500 0.2500 0.5000
0.5000 0.5000 0.0000
0.1814 0.1814 0.0000
0.2934 0.2934 0.5868
0.2934 0.7066 0.0000
0.7066 0.2934 0.0000
0.7066 0.7066 0.4132
0.8186 0.8186 0.0000
```

Calculated values
formation energy from raw total energies: -1837 meV per atom
uncorrected energy: -6.955 eV/atom
D(E_F): 0.369 states/eV/atom

***

4.
Entry from the Alexandria database: a relaxed structure of Sc5Cd6 (GGA-PBE).

Cell and atoms, written as POSCAR:
```
Sc5Cd6
1.0
-2.4752 3.5315 7.2388
2.4752 -3.5315 7.2388
2.4752 3.5315 -7.2388
Sc Cd
5 6
Direct
0.0000 0.0000 0.0000
0.1596 0.6596 0.5000
0.3112 0.3112 0.0000
0.6888 0.6888 0.0000
0.8404 0.3404 0.5000
0.1319 0.8497 0.2823
0.2841 0.5000 0.7841
0.4326 0.1503 0.2823
0.5674 0.8497 0.7177
0.7159 0.5000 0.2159
0.8681 0.1503 0.7177
```

Calculated values
formation enthalpy at 0 K: -0.191 eV per atom
uncorrected energy: -3.568 eV/atom
D(E_F): 1.010 states/eV/atom

***

5.
Entry from the Alexandria database: a relaxed structure of Pu2Ga4PdPt3 (GGA-PBE).

Cell and atoms, written as POSCAR:
```
Pu2Ga4PdPt3
1.0
4.1630 0.0000 0.0000
0.0000 4.1630 0.0000
0.0000 0.0000 10.9727
Pu Ga Pd Pt
2 4 1 3
Direct
0.0000 0.5000 0.2457
0.5000 0.0000 0.7543
0.0000 0.0000 0.0000
0.0000 0.5000 0.6326
0.5000 0.0000 0.3674
0.5000 0.5000 0.0000
0.0000 0.0000 0.5000
0.0000 0.5000 0.8607
0.5000 0.0000 0.1393
0.5000 0.5000 0.5000
```

Calculated values
formation enthalpy at 0 K: -0.731 eV per atom
uncorrected energy: -7.139 eV/atom
D(E_F): 2.800 states/eV/atom

***

6.
Entry from the Alexandria database: a relaxed structure of Bi2P2Br (GGA-PBE).

Cell and atoms, written as POSCAR:
```
Bi2P2Br
1.0
8.5817 0.0000 0.0000
0.0000 8.5817 0.0000
0.0000 0.0000 3.5082
Bi P Br
4 4 2
Direct
0.1688 0.3312 0.0000
0.3312 0.8312 0.0000
0.6688 0.1688 0.0000
0.8312 0.6688 0.0000
0.0925 0.5925 0.5000
0.4075 0.0925 0.5000
0.5925 0.9075 0.5000
0.9075 0.4075 0.5000
0.0000 0.0000 0.5000
0.5000 0.5000 0.5000
```

Calculated values
relative energy among the computed polymorphs: 0.219 eV per atom
formation energy from raw total energies: 233 meV per atom
uncorrected energy: -3.818 eV/atom
D(E_F): 0.981 states/eV/atom

***

7.
Entry from the Alexandria database: a relaxed structure of TmZrTlAg (GGA-PBE).

Cell and atoms, written as POSCAR:
```
TmZrTlAg
1.0
7.1846 0.0000 0.0000
0.0000 7.1846 0.0000
0.0000 0.0000 7.1846
Tm Zr Tl Ag
4 4 4 4
Direct
0.0000 0.0000 0.0000
0.0000 0.5000 0.5000
0.5000 0.0000 0.5000
0.5000 0.5000 0.0000
0.0000 0.0000 0.5000
0.0000 0.5000 0.0000
0.5000 0.0000 0.0000
0.5000 0.5000 0.5000
0.2500 0.2500 0.2500
0.2500 0.7500 0.7500
0.7500 0.2500 0.7500
0.7500 0.7500 0.2500
0.2500 0.2500 0.7500
0.2500 0.7500 0.2500
0.7500 0.2500 0.2500
0.7500 0.7500 0.7500
```

Calculated values
formation enthalpy at 0 K: -0.128 eV per atom
uncorrected energy: -4.687 eV/atom
D(E_F): 0.640 states/eV/atom

***

8.
Entry from the Alexandria database: a relaxed structure of DyHfS2 (GGA-PBE).

Cell and atoms, written as POSCAR:
```
DyHfS2
1.0
3.7769 0.0000 0.0000
-1.8885 3.2709 0.0000
0.0000 0.0000 18.3954
Dy Hf S
3 3 6
Direct
0.0000 0.0000 0.0000
0.3333 0.6667 0.6667
0.6667 0.3333 0.3333
0.0000 0.0000 0.5000
0.3333 0.6667 0.1667
0.6667 0.3333 0.8333
0.0000 0.0000 0.2441
0.0000 0.0000 0.7559
0.3333 0.6667 0.4226
0.3333 0.6667 0.9108
0.6667 0.3333 0.0892
0.6667 0.3333 0.5774
```

Calculated values
relative energy among the computed polymorphs: 0.000 eV per atom
formation energy from raw total energies: -1561 meV per atom
uncorrected energy: -7.263 eV/atom
D(E_F): 0.371 states/eV/atom

***

9.
Entry from the Alexandria database: a relaxed structure of BPdSe2 (GGA-PBE).

Cell and atoms, written as POSCAR:
```
BPdSe2
1.0
5.5895 0.0000 0.0000
0.0000 5.5895 0.0000
0.0000 0.0000 9.2750
B Pd Se
4 4 8
Direct
0.0000 0.0000 0.0000
0.0000 0.5000 0.2500
0.5000 0.0000 0.7500
0.5000 0.5000 0.5000
0.0000 0.0000 0.5000
0.0000 0.5000 0.7500
0.5000 0.0000 0.2500
0.5000 0.5000 0.0000
0.1887 0.2500 0.1250
0.2500 0.6887 0.3750
0.2500 0.8113 0.8750
0.3113 0.2500 0.6250
0.6887 0.7500 0.6250
0.7500 0.1887 0.8750
0.7500 0.3113 0.3750
0.8113 0.7500 0.1250
```

Calculated values
relative energy among the computed polymorphs: 0.039 eV per atom
formation energy from raw total energies: -2 meV per atom
uncorrected energy: -4.712 eV/atom
D(E_F): 1.044 states/eV/atom

***

10.
Entry from the Alexandria database: a relaxed structure of LaYMgAg (GGA-PBE).

Cell and atoms, written as POSCAR:
```
LaYMgAg
1.0
3.8138 0.0000 0.0000
0.0000 3.8138 0.0000
0.0000 0.0000 7.5532
La Y Mg Ag
1 1 1 1
Direct
0.0000 0.0000 0.0000
0.0000 0.0000 0.4816
0.5000 0.5000 0.7257
0.5000 0.5000 0.2674
```

Calculated values
relative energy among the computed polymorphs: 0.000 eV per atom
formation enthalpy at 0 K: -0.192 eV per atom
uncorrected energy: -4.151 eV/atom
D(E_F): 0.936 states/eV/atom

***

11.
Entry from the Alexandria database: a relaxed structure of VCdPd (GGA-PBE).

Cell and atoms, written as POSCAR:
```
VCdPd
1.0
0.0000 3.3628 6.1086
2.6412 0.0000 6.1086
2.6412 3.3628 0.0000
V Cd Pd
2 2 2
Direct
0.1406 0.8594 0.1406
0.8594 0.1406 0.8594
0.2500 0.2500 0.2500
0.7500 0.7500 0.7500
0.3947 0.3947 0.6053
0.6053 0.6053 0.3947
```

Calculated values
relative energy among the computed polymorphs: 0.248 eV per atom
formation enthalpy at 0 K: 0.226 eV per atom
uncorrected energy: -4.850 eV/atom
D(E_F): 0.826 states/eV/atom

***

12.
Entry from the Alexandria database: a relaxed structure of PaNi2Rh4 (GGA-PBE).

Cell and atoms, written as POSCAR:
```
PaNi2Rh4
1.0
4.8266 0.0000 0.0000
0.0000 4.8266 0.0000
0.0000 0.0000 10.3834
Pa Ni Rh
2 4 8
Direct
0.0000 0.0000 0.0000
0.5000 0.5000 0.5000
0.0000 0.0000 0.3758
0.0000 0.0000 0.6242
0.5000 0.5000 0.1242
0.5000 0.5000 0.8758
0.0000 0.5000 0.0000
0.0000 0.5000 0.2500
0.0000 0.5000 0.5000
0.0000 0.5000 0.7500
0.5000 0.0000 0.0000
0.5000 0.0000 0.2500
0.5000 0.0000 0.5000
0.5000 0.0000 0.7500
```

Calculated values
formation enthalpy at 0 K: 0.214 eV per atom
uncorrected energy: -6.995 eV/atom
D(E_F): 1.606 states/eV/atom

***

- What is the D(E_F) in the fourth record?
  1.010 states/eV/atom